Record 1
The following is a PBE calculation of crystalline ZrAl2Ga2 at its relaxed geometry, from Alexandria.

The calculation puts the energy of formation from the pure elements at -0.1421 eV/atom. As for the crystal system: tetragonal. Its density of states at the Fermi level is 1.74 states/eV/f.u. The calculated volume comes out at 17.926 Å³ per atom.

It has space group P4/mbm (No. 127), with a = 7.485 Å, b = 7.485 Å, c = 3.200 Å, α = 90.00°, β = 90.00° and γ = 90.00°. The inequivalent atoms are Zr at (0.000, 0.000, 0.000), Al at (0.127, 0.373, 0.000) and Ga at (0.171, 0.671, 0.500).



Record 2
The following is a PBE calculation of crystalline Ca2MgZrAl at its relaxed geometry, from Alexandria.

The calculation puts the energy of formation from the pure elements at 0.6689 eV/atom. As for the crystal system: tetragonal. Its density of states at the Fermi level is 5.59 states/eV/f.u. The calculated volume comes out at 33.290 Å³ per atom.

It has space group P4/mmm (No. 123), with a = 5.716 Å, b = 5.716 Å, c = 5.094 Å, α = 90.00°, β = 90.00° and γ = 90.00°. The inequivalent atoms are Ca at (0.000, 0.500, 0.000), Mg at (0.000, 0.000, 0.500), Zr at (0.500, 0.500, 0.500) and Al at (0.000, 0.000, 0.000).



Record 3
The following is a PBE calculation of crystalline CaLaIn at its relaxed geometry, from Alexandria.

As for the energy above the most stable polymorph in this dataset: 136 meV per atom. The calculation puts the energy of formation from the pure elements at -0.3089 eV/atom. As for the crystal system: monoclinic. Its density of states at the Fermi level is 1.74 states/eV/f.u. The calculated volume comes out at 31.593 Å³ per atom.

It has space group Cm (No. 8), with a = 6.063 Å, b = 10.533 Å, c = 6.089 Å, α = 90.00°, β = 102.84° and γ = 90.00°. The inequivalent atoms are Ca at (0.000, 0.156, 0.000), La at (0.499, 0.146, 0.500), In at (0.000, 0.500, 0.000) and In at (0.499, 0.500, 0.499).



Record 4
The following is a PBE calculation of crystalline GdMgSn2 at its relaxed geometry, from Alexandria.

The calculation puts the energy of formation from the pure elements at -0.3949 eV/atom. As for the crystal system: tetragonal. Its density of states at the Fermi level is 2.83 states/eV/f.u. The calculated volume comes out at 25.524 Å³ per atom.

It has space group P4/mmm (No. 123), with a = 3.832 Å, b = 3.832 Å, c = 6.952 Å, α = 90.00°, β = 90.00° and γ = 90.00°. The inequivalent atoms are Gd at (0.000, 0.000, 0.000), Mg at (0.000, 0.000, 0.500) and Sn at (0.500, 0.500, 0.277).



Record 5
The following is a PBE calculation of crystalline Cd2ReAsPt at its relaxed geometry, from Alexandria.

The calculation puts the energy of formation from the pure elements at 1.0081 eV/atom. As for the crystal system: tetragonal. Its density of states at the Fermi level is 3.69 states/eV/f.u. The calculated volume comes out at 25.317 Å³ per atom.

It has space group P4/mmm (No. 123), with a = 5.248 Å, b = 5.248 Å, c = 4.597 Å, α = 90.00°, β = 90.00° and γ = 90.00°. The inequivalent atoms are Cd at (0.000, 0.500, 0.000), Re at (0.000, 0.000, 0.000), As at (0.000, 0.000, 0.500) and Pt at (0.500, 0.500, 0.500).



Record 6
The following is a PBE calculation of crystalline La2Cd17 at its relaxed geometry, from Alexandria.

The calculation puts the energy of formation from the pure elements at -0.1888 eV/atom. As for the crystal system: trigonal. Its density of states at the Fermi level is 4.27 states/eV/f.u. The calculated volume comes out at 23.539 Å³ per atom.

It has space group R-3m (No. 166, hexagonal axes), with a = 10.1554 Å, b = 10.1554 Å, c = 15.0220 Å, α = 90.00°, β = 90.00° and γ = 120.00°. The inequivalent atoms are La at (0.0000, 0.0000, 0.1672), Cd at (0.0000, 0.0000, 0.3990), Cd at (0.0000, 0.2986, 0.5000), Cd at (0.0000, 0.5000, 0.0000) and Cd at (0.0131, 0.5066, 0.6483).



Question: energy of formation from the pure elements of number 4 (GdMgSn2)?
Answer: -0.3949 eV/atom



Question: Which of these has the lowest energy of formation from the pure elements?
Answer: GdMgSn2



Question: Number 2 is which compound?
Answer: Ca2MgZrAl



Question: What is the energy of formation from the pure elements in the second record?
Answer: 0.6689 eV/atom